1.
Here is Pa2CuIr after structural relaxation from Alexandria. Energies are from GGA-PBE.

```
Pa2CuIr
1.0
4.868 0.000 0.000
2.434 4.216 0.000
2.434 1.405 3.975
Pa Cu Ir
2 1 1
Cartesian
7.303 4.216 2.981
2.434 1.405 0.994
4.868 2.811 1.988
0.000 0.000 0.000
```

## Properties
* total magnetization: 0.00 μB per cell
* offset from the most stable computed form: 106 meV/atom
* V: 20.40 Å³/atom

2.
Here is AcPrGeCl after structural relaxation from Alexandria. Energies are from GGA-PBE.

```
AcPrGeCl
1.0
-3.901 2.613 2.087
3.313 -2.559 3.070
3.555 5.025 0.353
Ge Cl Ac Pr
1 1 1 1
Cartesian
0.461 -0.424 1.392
0.745 2.974 3.994
2.235 2.092 1.559
-1.030 0.460 3.823
```

## Properties
* E_form (uncorrected): -370 kJ/mol of formula units
* total magnetization: 0.00 μB per cell
* offset from the most stable computed form: 119 meV/atom
* V: 35.72 Å³/atom

3.
Here is Ac5La3Tb2 after structural relaxation from Alexandria. Energies are from GGA-PBE.

```
Ac5La3Tb2
1.0
-0.320 -0.561 -9.427
4.644 -7.943 2.252
-10.232 -0.311 4.133
Ac La Tb
10 6 4
Cartesian
-5.235 -5.811 -3.641
1.513 -7.280 -2.814
-0.674 -3.005 0.599
1.607 -4.661 -5.912
-3.712 -2.194 -2.111
-2.196 -6.621 -0.931
-1.559 -6.451 -5.698
-7.421 -1.536 -0.229
-7.515 -4.154 2.870
-4.350 -2.364 2.656
1.035 -6.364 0.728
-0.497 -4.091 -2.923
-6.943 -2.452 -3.771
-5.411 -4.724 -0.119
-0.705 -0.494 -2.315
-5.203 -8.322 -0.728
1.951 -8.415 -6.203
-7.859 -0.400 3.161
-4.515 -6.406 2.399
-1.393 -2.409 -5.442
```

## Properties
* total magnetization: 0.00 μB per cell
* uncorrected energy: -42.914 eV per formula unit
* V: 40.69 Å³/atom

4.
Here is Hf3Be8Fe after structural relaxation from Alexandria. Energies are from GGA-PBE.

```
Hf3Be8Fe
1.0
4.585 0.000 0.000
2.292 3.970 0.000
2.292 1.323 7.671
Hf Be Fe
3 8 1
Cartesian
6.877 3.970 0.178
4.585 2.647 6.658
4.585 2.647 3.730
5.739 4.628 5.201
5.738 1.981 1.518
2.292 1.323 3.350
4.585 3.979 1.518
6.877 3.970 7.197
6.877 2.656 5.201
3.431 1.981 1.518
8.015 4.628 5.201
6.877 3.970 2.835
```

## Properties
* total magnetization: 0.53 μB per cell
* uncorrected energy: -69.769 eV per formula unit
* V: 11.64 Å³/atom

5.
Here is PmPuN after structural relaxation from Alexandria. Energies are from GGA-PBE.

```
PmPuN
1.0
4.330 0.000 0.000
2.165 3.750 0.000
2.165 1.250 3.535
N Pu Pm
1 1 1
Cartesian
2.165 1.250 0.884
0.000 0.000 0.000
4.330 2.500 1.768
```

## Properties
* E_form (uncorrected): -53 kJ/mol of formula units
* total magnetization: 5.85 μB per cell
* offset from the most stable computed form: 577 meV/atom
* V: 19.13 Å³/atom

6.
Here is KAcCd2 after structural relaxation from Alexandria. Energies are from GGA-PBE.

```
KAcCd2
1.0
4.028 0.000 0.000
2.014 3.488 0.000
2.014 1.163 10.851
Ac Cd K
1 2 1
Cartesian
0.000 0.000 0.000
2.014 1.163 2.580
6.042 3.488 8.271
4.028 2.326 5.425
```

## Properties
* total magnetization: 0.00 μB per cell
* offset from the most stable computed form: 128 meV/atom
* V: 38.12 Å³/atom